Record 1
A relaxed structure of K3Fe2Cl9. Source: Alexandria, functional PBE.

Cell and atoms, written as POSCAR:
```
K3Fe2Cl9
1.0
7.0164 0.0000 0.0000
-3.5082 6.0764 0.0000
0.0000 0.0000 8.7218
K Fe Cl
3 2 9
Direct
0.0000 0.0000 0.0000
0.3333 0.6667 0.3241
0.6667 0.3333 0.6759
0.3333 0.6667 0.8113
0.6667 0.3333 0.1887
0.0000 0.5000 0.0000
0.1717 0.3434 0.6797
0.1717 0.8283 0.6797
0.3434 0.1717 0.3203
0.5000 0.0000 0.0000
0.5000 0.5000 0.0000
0.6566 0.8283 0.6797
0.8283 0.1717 0.3203
0.8283 0.6566 0.3203
```

***

Record 2
A relaxed structure of Tb2AlSiGe. Source: Alexandria, functional PBE.

Cell and atoms, written as POSCAR:
```
Tb2AlSiGe
1.0
7.2529 0.0000 0.0000
0.0000 4.0427 0.0000
-2.6398 0.0000 7.9906
Tb Al Si Ge
4 2 2 2
Direct
0.1541 0.2500 0.4071
0.2644 0.2500 0.9656
0.7356 0.7500 0.0344
0.8459 0.7500 0.5929
0.4858 0.7500 0.2830
0.5142 0.2500 0.7170
0.2959 0.7500 0.7026
0.7041 0.2500 0.2974
0.1416 0.7500 0.1648
0.8584 0.2500 0.8352
```

***

Record 3
A relaxed structure of NaCr2H8. Source: Alexandria, functional PBE.

Cell and atoms, written as POSCAR:
```
NaCr2H8
1.0
2.1127 -3.8915 0.0000
2.1127 3.8915 0.0000
-0.0364 0.0000 4.8321
Na Cr H
1 2 8
Direct
0.0000 0.0000 0.0000
0.3438 0.7045 0.4997
0.7045 0.3438 0.4997
0.0305 0.4960 0.2405
0.0351 0.4999 0.7589
0.0473 0.8227 0.4998
0.4960 0.0305 0.2405
0.4999 0.0351 0.7589
0.5017 0.5017 0.2848
0.5046 0.5046 0.7145
0.8227 0.0473 0.4998
```

***

Record 4
A relaxed structure of Th2ZrNpP4. Source: Alexandria, functional PBE.

Formation energy from the elements: -1.3240 eV/atom

Cell and atoms, written as POSCAR:
```
Th2ZrNpP4
1.0
6.8944 0.0000 0.0000
0.0000 4.0047 0.0000
-2.2964 0.0000 6.5378
Th Zr Np P
2 1 1 4
Direct
0.0000 0.0000 0.0000
0.5000 0.5000 0.0000
0.0000 0.5000 0.5000
0.5000 0.0000 0.5000
0.2390 0.0000 0.7293
0.2513 0.5000 0.2685
0.7487 0.5000 0.7315
0.7610 0.0000 0.2707
```

***

These records have total DFT energy (no corrections) values of -3.889; -5.126; -4.294; -8.570 eV per atom, in the order they appear.